DFT (PBE+U) results for a geometry-optimized FeCo3O8 structure.

Structure (POSCAR):
```
FeCo3O8
1.0
2.880 1.663 4.975
-2.880 1.663 4.975
0.000 -3.325 4.975
Fe Co O
1 3 8
Direct
0.000 0.000 0.000
0.000 0.500 0.500
0.500 0.000 0.500
0.500 0.500 0.000
0.237 0.237 0.717
0.237 0.717 0.237
0.270 0.270 0.270
0.283 0.763 0.763
0.717 0.237 0.237
0.730 0.730 0.730
0.763 0.283 0.763
0.763 0.763 0.283
```

E_tot in Ry/atom: -0.42421
ΔE to the lowest computed polymorph in meV/atom: 11